Record 1
Entry from Alexandria via LeMat-Bulk: crystalline PuAlHg2 at its relaxed geometry (PBE-GGA).

Its calculated total energy is -4.69 eV per atom. As for the energy above the most stable polymorph in this dataset: 0.29 eV per formula unit. For the formation energy from the elements, the calculation gives -0.02 eV/atom.

It has space group F-43m (No. 216), with a = 7.153 Å, b = 7.153 Å, c = 7.153 Å, α = 90.00°, β = 90.00° and γ = 90.00°. The inequivalent atoms are Pu at (0.000, 0.000, 0.000), Al at (0.250, 0.250, 0.250), Hg at (0.000, 0.000, 0.500) and Hg at (0.250, 0.250, 0.750).

---

Record 2
Entry from Alexandria via LeMat-Bulk: crystalline PuAlHg2 at its relaxed geometry (PBE-GGA).

Its calculated total energy is -4.76 eV per atom. As for the energy above the most stable polymorph in this dataset: 0.00 eV per formula unit. For the formation energy from the elements, the calculation gives -0.09 eV/atom.

It has space group Fm-3m (No. 225), with a = 7.172 Å, b = 7.172 Å, c = 7.172 Å, α = 90.00°, β = 90.00° and γ = 90.00°. The inequivalent atoms are Pu at (0.000, 0.000, 0.000), Al at (0.000, 0.000, 0.500) and Hg at (0.250, 0.250, 0.250).

---

Record 3
Entry from Alexandria via LeMat-Bulk: crystalline PuAlHg2 at its relaxed geometry (PBE-GGA).

Its calculated total energy is -4.70 eV per atom. As for the energy above the most stable polymorph in this dataset: 0.26 eV per formula unit. For the formation energy from the elements, the calculation gives -0.03 eV/atom.

It has space group P4/mmm (No. 123), with a = 3.504 Å, b = 3.504 Å, c = 7.503 Å, α = 90.00°, β = 90.00° and γ = 90.00°. The inequivalent atoms are Pu at (0.000, 0.000, 0.000), Al at (0.000, 0.000, 0.500) and Hg at (0.500, 0.500, 0.282).